First-principles (PBE-GGA) data for a geometry-optimized ZrGe3Au structure, as listed in Alexandria via LeMat-Bulk.

- ΔE to the lowest computed polymorph: 0 meV/atom
- E_form: 0.685 eV/atom
- Space group: Pm-3m

Structure (extended XYZ):
```
5
Lattice="-2.9900 -4.2509 -0.1028 2.6882 -1.9870 3.9808 -3.2947 2.2366 3.3413" Properties=species:S:1:pos:R:3 pbc="T T T"
Ge -1.4950 -2.1255 -0.0514
Zr 0.0000 0.0000 0.0000
Ge 1.3441 -0.9935 1.9904
Ge -1.6473 1.1183 1.6706
Au -1.7982 -2.0007 3.6096
```



First-principles (PBE-GGA) data for a geometry-optimized Zr2GeAu2 structure, as listed in Alexandria via LeMat-Bulk.

- ΔE to the lowest computed polymorph: 416 meV/atom
- E_form: 0.039 eV/atom
- Space group: I4/mmm

Structure (extended XYZ):
```
5
Lattice="4.5049 0.0000 0.0000 0.0000 4.5049 0.0000 2.2524 2.2524 5.8073" Properties=species:S:1:pos:R:3 pbc="T T T"
Au 2.2524 2.2524 1.2836
Zr 4.5049 2.2524 2.9037
Ge 0.0000 0.0000 0.0000
Zr 2.2524 4.5049 2.9037
Au 4.5049 4.5049 4.5237
```



First-principles (PBE-GGA) data for a geometry-optimized ZrGeAu2 structure, as listed in Alexandria via LeMat-Bulk.

- E_form: 0.164 eV/atom
- Space group: R-3m

Structure (extended XYZ):
```
4
Lattice="2.9867 0.0000 0.0000 1.4933 2.5866 0.0000 1.4933 0.8622 10.4455" Properties=species:S:1:pos:R:3 pbc="T T T"
Ge 2.9867 1.7244 5.2227
Au 4.4800 2.5866 2.7896
Zr 0.0000 0.0000 0.0000
Au 1.4934 0.8622 7.6558
```



First-principles (PBE-GGA) data for a geometry-optimized Zr3Ge4Au4 structure, as listed in Alexandria via LeMat-Bulk.

- E_form: -0.333 eV/atom
- Space group: P-1

Structure (extended XYZ):
```
11
Lattice="3.9219 0.0013 0.0412 0.0013 4.1757 0.0032 -1.7225 -2.0825 13.0136" Properties=species:S:1:pos:R:3 pbc="T T T"
Au 2.0598 2.0912 6.3771
Zr 0.0686 2.0875 3.8734
Ge -0.2723 0.0067 11.8140
Ge 2.1303 0.0033 4.7849
Zr 2.1320 0.0069 9.1846
Ge 0.0703 2.0910 8.2730
Zr 2.2007 2.0944 13.0579
Au 0.6455 2.0965 10.7159
Ge 2.4731 2.0876 1.2440
Au 1.5551 -0.0022 2.3420
Au 0.1408 0.0032 6.6809
```



First-principles (PBE-GGA) data for a geometry-optimized ZrGeAu2 structure, as listed in Alexandria via LeMat-Bulk.

- E_form: -0.411 eV/atom
- Space group: P4/mmm

Structure (extended XYZ):
```
4
Lattice="4.7147 0.0000 0.0000 0.0000 3.9908 0.0000 0.0000 0.0000 3.9908" Properties=species:S:1:pos:R:3 pbc="T T T"
Ge 2.3573 1.9954 1.9954
Au 0.0000 0.0000 1.9954
Au 0.0000 1.9954 0.0000
Zr 2.3573 0.0000 0.0000
```



First-principles (PBE-GGA) data for a geometry-optimized H3Au structure, as listed in Alexandria via LeMat-Bulk.

- Space group: Immm

Structure (extended XYZ):
```
4
Lattice="-0.4242 -3.3548 0.3020 2.4206 -0.1333 1.9190 -3.3923 2.3223 1.9496" Properties=species:S:1:pos:R:3 pbc="T T T"
H -2.0970 -1.3162 1.5155
Au 0.7060 -0.0389 0.5597
H 0.4943 -1.7163 0.7110
H -0.3078 0.2059 1.8552
```



First-principles (PBE-GGA) data for a geometry-optimized H2Au structure, as listed in Alexandria via LeMat-Bulk.

- Space group: I4/mmm

Structure (extended XYZ):
```
3
Lattice="-2.1633 -1.2525 1.0195 1.6117 -1.7837 1.2284 0.4329 3.9324 2.1754" Properties=species:S:1:pos:R:3 pbc="T T T"
H -0.2351 -0.8925 1.9790
Au 0.0000 0.0000 0.0000
H 0.1164 1.7886 2.4444
```



First-principles (PBE-GGA) data for a geometry-optimized Hf5HAu2 structure, as listed in Alexandria via LeMat-Bulk.

- Space group: I4mm

Structure (extended XYZ):
```
8
Lattice="6.4816 -0.0031 0.0024 -0.0029 6.4816 0.0024 -3.2377 -3.2376 3.6849" Properties=species:S:1:pos:R:3 pbc="T T T"
Au 3.2412 -0.0008 1.8376
Au -0.0007 3.2412 1.8376
Hf 1.6069 -1.6028 3.6789
Hf -1.6013 -1.6013 3.6782
H 0.0005 0.0006 0.2190
Hf 1.6043 1.6042 3.6795
Hf 3.2399 3.2398 1.8744
Hf -1.6027 1.6069 3.6789
```



First-principles (PBE-GGA) data for a geometry-optimized HfHAu2 structure, as listed in Alexandria via LeMat-Bulk.

- ΔE to the lowest computed polymorph: 570 meV/atom
- Space group: Fm-3m

Structure (extended XYZ):
```
4
Lattice="-0.0216 -3.6556 2.7337 -3.8111 -1.1615 2.2279 -2.3038 -3.7476 -1.2185" Properties=species:S:1:pos:R:3 pbc="T T T"
H 0.0000 0.0000 0.0000
Au -4.6024 -6.4236 2.8073
Hf -3.0682 -4.2824 1.8715
Au -1.5341 -2.1412 0.9358
```



First-principles (PBE-GGA) data for a geometry-optimized HfH3Au structure, as listed in Alexandria via LeMat-Bulk.

- Space group: Pm-3m

Structure (extended XYZ):
```
5
Lattice="-3.7394 0.4431 0.0451 -0.3666 -3.2786 1.8160 0.2529 1.7989 3.2987" Properties=species:S:1:pos:R:3 pbc="T T T"
H -1.8697 0.2216 0.0225
H -0.1833 -1.6393 0.9080
H 0.1265 0.8994 1.6494
Hf 0.0000 0.0000 0.0000
Au -1.9266 -0.5183 2.5799
```



First-principles (PBE-GGA) data for a geometry-optimized Hf3H2Au structure, as listed in Alexandria via LeMat-Bulk.

- Space group: P2/m

Structure (extended XYZ):
```
12
Lattice="3.2932 0.0431 -0.3575 -0.0241 7.9311 0.7327 -2.5623 -0.7117 7.0066" Properties=species:S:1:pos:R:3 pbc="T T T"
Hf 0.3395 5.9412 3.8529
Hf -1.1008 3.3393 5.6071
Au 1.7921 7.7767 2.0988
Hf 0.3673 1.3212 3.5289
Hf 0.7229 1.1865 6.7992
H 0.5244 4.6124 5.3853
Au -1.0853 -0.5142 5.2830
H -1.2946 4.7588 4.0080
H 0.1824 2.6500 1.9966
H 2.0014 2.5036 3.3738
Hf -0.0160 6.0760 0.5826
Hf 1.8076 3.9231 1.7748
```



First-principles (PBE-GGA) data for a geometry-optimized Hf2HAu structure, as listed in Alexandria via LeMat-Bulk.

- ΔE to the lowest computed polymorph: 428 meV/atom
- Space group: Fm-3m

Structure (extended XYZ):
```
4
Lattice="-3.8089 -2.3414 1.0977 -0.6533 -1.4355 4.3251 -3.2386 1.9679 2.6140" Properties=species:S:1:pos:R:3 pbc="T T T"
H 0.0000 0.0000 0.0000
Hf -5.7756 -1.3568 6.0276
Hf -1.9252 -0.4523 2.0092
Au -3.8504 -0.9045 4.0184
```



no.,electronic total energy (eV/atom)
1,-4.45
2,-5.61
3,-4.77
4,-5.53
5,-5.34
6,-2.83
7,-2.46
8,-7.56
9,-4.75
10,-4.63
11,-7.08
12,-6.58